Model one:
{"formula": "Bi2OsSe2", "functional": "PBE-GGA", "state": "optimized geometry", "lattice": [[3.610, 0.000, 0.000], [0.000, 3.610, 0.000], [1.805, 1.805, 9.846]], "species": ["Bi", "Se", "Se", "Os", "Bi"], "fractional_positions": [[0.581, 0.581, 0.838], [0.250, 0.750, 0.500], [0.750, 0.250, 0.500], [0.000, 0.000, 0.000], [0.419, 0.419, 0.162]], "space_group": "I4/mmm, No. 139", "magmom_total_mub_per_fu": 0.6}


Model two:
{"formula": "Bi2OsSe2", "functional": "PBE-GGA", "state": "optimized geometry", "lattice": [[-5.276, -5.090, 2.217], [2.753, 0.258, 7.143], [-2.807, 3.328, 0.962]], "species": ["Bi", "Os", "Bi", "Se", "Os", "Bi", "Se", "Se", "Se", "Bi"], "fractional_positions": [[0.170, 0.330, 0.000], [0.000, 0.000, 0.000], [0.330, 0.830, 0.000], [0.334, 0.166, 0.500], [0.500, 0.500, 0.000], [0.670, 0.170, 0.000], [0.834, 0.334, 0.500], [0.166, 0.666, 0.500], [0.666, 0.834, 0.500], [0.830, 0.670, 0.000]], "space_group": "P4/mbm, No. 127", "magmom_total_mub_per_fu": 2.1}


The relative energies come out as model one 0.000; model two 0.308, with values in eV/atom.


Model one:
{"formula": "BiOs2Se", "functional": "PBE-GGA", "state": "optimized geometry", "lattice": [[-3.475, 2.550, -3.777], [-2.981, -4.865, -0.542], [-6.788, 0.532, 2.257]], "species": ["Bi", "Os", "Os", "Se", "Se", "Os", "Os", "Bi"], "fractional_positions": [[0.750, 0.250, 0.500], [0.875, 0.826, 0.750], [0.375, 0.424, 0.750], [0.500, 0.500, 0.000], [0.250, 0.750, 0.500], [0.576, 0.125, 0.250], [0.174, 0.625, 0.250], [0.000, 0.000, 0.000]], "space_group": "I-42d, No. 122", "magmom_total_mub_per_fu": 0.0}


Model two:
{"formula": "BiOs2Se", "functional": "PBE-GGA", "state": "optimized geometry", "lattice": [[-1.401, -4.404, 0.515], [-4.516, -0.952, 0.564], [-2.377, -2.097, -3.402]], "species": ["Os", "Bi", "Os", "Se"], "fractional_positions": [[0.750, 0.750, 0.750], [0.500, 0.500, 0.500], [0.250, 0.250, 0.250], [0.000, 0.000, 0.000]], "space_group": "Fm-3m, No. 225", "magmom_total_mub_per_fu": 0.0}


The relative energies come out as model one 0.000; model two 0.066, with values in eV/atom.


Model one:
{"formula": "SiBiOs2Se", "functional": "PBE-GGA", "state": "optimized geometry", "lattice": [[-0.473, -4.394, 2.420], [4.389, 1.269, 3.161], [-3.053, 2.181, 3.364]], "species": ["Os", "Bi", "Si", "Se", "Os"], "fractional_positions": [[0.000, 0.000, 0.500], [0.000, 0.000, 0.000], [0.500, 0.500, 0.500], [0.000, 0.500, 0.000], [0.500, 0.000, 0.000]], "space_group": "P4/mmm, No. 123", "magmom_total_mub_per_fu": 3.0}


Model two:
{"formula": "SiBiOs2Se", "functional": "PBE-GGA", "state": "optimized geometry", "lattice": [[4.542, 0.000, 0.000], [0.000, 5.666, 0.000], [0.000, 0.000, 4.542]], "species": ["Os", "Bi", "Si", "Os", "Se"], "fractional_positions": [[0.000, 0.000, 0.500], [0.000, 0.500, 0.000], [0.500, 0.500, 0.500], [0.500, 0.000, 0.000], [0.000, 0.000, 0.000]], "space_group": "P4/mmm, No. 123", "magmom_total_mub_per_fu": 1.0}


The relative energies come out as model one 0.806; model two 0.000, with values in eV/atom.


Model one:
{"formula": "Tl2BiOsSe", "functional": "PBE-GGA", "state": "optimized geometry", "lattice": [[-2.651, 0.526, -4.796], [4.734, -1.149, -2.743], [-1.244, -5.362, 0.099]], "species": ["Bi", "Tl", "Os", "Tl", "Se"], "fractional_positions": [[0.000, 0.500, 0.000], [0.000, 0.000, 0.500], [0.500, 0.500, 0.500], [0.500, 0.000, 0.000], [0.000, 0.000, 0.000]], "space_group": "P4/mmm, No. 123", "magmom_total_mub_per_fu": 2.6}


Model two:
{"formula": "Tl2BiOsSe", "functional": "PBE-GGA", "state": "optimized geometry", "lattice": [[5.312, 0.000, 0.000], [0.000, 5.185, 0.000], [0.000, 0.000, 5.312]], "species": ["Tl", "Bi", "Se", "Os", "Tl"], "fractional_positions": [[0.000, 0.000, 0.500], [0.000, 0.500, 0.000], [0.500, 0.500, 0.500], [0.000, 0.000, 0.000], [0.500, 0.000, 0.000]], "space_group": "P4/mmm, No. 123", "magmom_total_mub_per_fu": 0.0}


The relative energies come out as model one 1.091; model two 0.000, with values in eV/atom.


Model one:
{"formula": "Sn3BiOs", "functional": "PBE-GGA", "state": "optimized geometry", "lattice": [[5.768, 0.000, 0.000], [0.000, 5.768, 0.000], [0.000, 0.000, 5.768]], "species": ["Sn", "Bi", "Sn", "Os", "Sn"], "fractional_positions": [[0.000, 0.000, 0.500], [0.000, 0.000, 0.000], [0.000, 0.500, 0.000], [0.500, 0.500, 0.500], [0.500, 0.000, 0.000]], "space_group": "Pm-3m, No. 221", "magmom_total_mub_per_fu": 2.5}


Model two:
{"formula": "Sn3BiOs", "functional": "PBE-GGA", "state": "optimized geometry", "lattice": [[5.197, 0.000, 0.000], [0.000, 5.197, 0.000], [0.000, 0.000, 5.197]], "species": ["Sn", "Os", "Sn", "Sn", "Bi"], "fractional_positions": [[0.000, 0.000, 0.500], [0.000, 0.000, 0.000], [0.500, 0.000, 0.000], [0.000, 0.500, 0.000], [0.500, 0.500, 0.500]], "space_group": "Pm-3m, No. 221", "magmom_total_mub_per_fu": 0.0}


The relative energies come out as model one 1.684; model two 0.000, with values in eV/atom.


Model one:
{"formula": "TaBi3Os", "functional": "PBE-GGA", "state": "optimized geometry", "lattice": [[-0.434, -1.260, -5.109], [1.004, -5.052, 1.161], [-5.165, -0.876, 0.655]], "species": ["Bi", "Os", "Bi", "Ta", "Bi"], "fractional_positions": [[0.500, 0.000, 0.000], [0.000, 0.000, 0.000], [0.000, 0.500, 0.000], [0.500, 0.500, 0.500], [0.000, 0.000, 0.500]], "space_group": "Pm-3m, No. 221", "magmom_total_mub_per_fu": 3.4}


Model two:
{"formula": "TaBi3Os", "functional": "PBE-GGA", "state": "optimized geometry", "lattice": [[-3.643, -2.406, -3.205], [-1.679, -3.017, 4.173], [-3.639, 3.800, 1.284]], "species": ["Bi", "Bi", "Os", "Bi", "Ta"], "fractional_positions": [[0.500, 0.000, 0.000], [0.000, 0.500, 0.000], [0.500, 0.500, 0.500], [0.000, 0.000, 0.500], [0.000, 0.000, 0.000]], "space_group": "Pm-3m, No. 221", "magmom_total_mub_per_fu": 2.5}


The relative energies come out as model one 0.000; model two 0.153, with values in eV/atom.


Model one:
{"formula": "Tb7Bi2Os2", "functional": "PBE-GGA", "state": "optimized geometry", "lattice": [[-3.306, -1.537, 1.692], [3.677, -6.856, 5.728], [1.675, 1.488, 9.398]], "species": ["Tb", "Tb", "Tb", "Tb", "Os", "Tb", "Os", "Bi", "Tb", "Bi", "Tb"], "fractional_positions": [[0.184, 0.716, 0.916], [0.816, 0.084, 0.284], [0.841, 0.425, 0.893], [0.500, 0.020, 0.980], [0.256, 0.332, 0.156], [0.632, 0.473, 0.262], [0.744, 0.844, 0.668], [0.000, 0.762, 0.238], [0.368, 0.738, 0.527], [0.500, 0.352, 0.648], [0.159, 0.107, 0.575]], "space_group": "Imm2, No. 44", "magmom_total_mub_per_fu": 0.0}


Model two:
{"formula": "Tb7Bi2Os2", "functional": "PBE-GGA", "state": "optimized geometry", "lattice": [[-1.736, 1.058, 7.061], [-0.227, -6.798, 0.962], [6.536, -1.146, 1.778]], "species": ["Tb", "Bi", "Tb", "Os", "Tb", "Tb", "Bi", "Tb", "Os", "Tb", "Tb"], "fractional_positions": [[0.234, 0.000, 0.500], [0.500, 0.209, 0.791], [0.223, 0.500, 0.500], [0.000, 0.278, 0.278], [0.000, 0.000, 0.000], [0.766, 0.500, 0.000], [0.500, 0.791, 0.209], [0.234, 0.500, 0.000], [0.000, 0.722, 0.722], [0.777, 0.500, 0.500], [0.766, 0.000, 0.500]], "space_group": "Cmmm, No. 65", "magmom_total_mub_per_fu": 0.0}


The relative energies come out as model one 0.000; model two 0.095, with values in eV/atom.


Model one:
{"formula": "Th7Bi2Os2", "functional": "PBE-GGA", "state": "optimized geometry", "lattice": [[3.906, 0.000, 0.838], [1.010, 8.518, 4.816], [-0.067, -0.079, 9.836]], "species": ["Th", "Os", "Th", "Bi", "Th", "Th", "Th", "Os", "Th", "Bi", "Th"], "fractional_positions": [[0.819, 0.080, 0.282], [0.730, 0.861, 0.680], [0.847, 0.418, 0.888], [0.500, 0.360, 0.640], [0.500, 0.029, 0.971], [0.153, 0.112, 0.582], [0.181, 0.718, 0.920], [0.270, 0.320, 0.139], [0.362, 0.739, 0.536], [0.000, 0.754, 0.246], [0.638, 0.464, 0.261]], "space_group": "Imm2, No. 44", "magmom_total_mub_per_fu": 0.0}


Model two:
{"formula": "Th7Bi2Os2", "functional": "PBE-GGA", "state": "optimized geometry", "lattice": [[-6.027, 3.697, -0.245], [-0.786, -1.733, -6.886], [-2.371, -6.394, 1.883]], "species": ["Bi", "Os", "Th", "Th", "Th", "Bi", "Os", "Th", "Th", "Th", "Th"], "fractional_positions": [[0.182, 0.500, 0.182], [0.739, 0.000, 0.261], [0.000, 0.749, 0.500], [0.500, 0.765, 0.500], [0.500, 0.235, 0.500], [0.818, 0.500, 0.818], [0.261, 0.000, 0.739], [0.500, 0.749, 0.000], [0.500, 0.251, 0.000], [0.000, 0.251, 0.500], [0.000, 0.000, 0.000]], "space_group": "Cmmm, No. 65", "magmom_total_mub_per_fu": 0.0}


The relative energies come out as model one 0.000; model two 0.171, with values in eV/atom.


Model one:
{"formula": "Th4BiOs", "functional": "PBE-GGA", "state": "optimized geometry", "lattice": [[-6.246, -1.366, 1.102], [1.799, -3.169, 6.269], [-4.969, 6.369, 4.647]], "species": ["Th", "Th", "Os", "Bi", "Os", "Th", "Th", "Th", "Th", "Bi", "Th", "Th"], "fractional_positions": [[0.522, 0.165, 0.754], [0.022, 0.335, 0.754], [0.500, 0.000, 0.500], [0.500, 0.500, 0.000], [0.000, 0.500, 0.500], [0.512, 0.650, 0.654], [0.478, 0.835, 0.246], [0.978, 0.665, 0.246], [0.488, 0.350, 0.346], [0.000, 0.000, 0.000], [0.988, 0.150, 0.346], [0.012, 0.850, 0.654]], "space_group": "P2_1/c, No. 14", "magmom_total_mub_per_fu": 0.0}


Model two:
{"formula": "Th4BiOs", "functional": "PBE-GGA", "state": "optimized geometry", "lattice": [[6.280, 0.000, 0.000], [0.000, 7.515, 0.000], [0.000, 0.000, 7.515]], "species": ["Th", "Th", "Th", "Os", "Th", "Bi", "Th", "Os", "Th", "Bi", "Th", "Th"], "fractional_positions": [[0.000, 0.639, 0.816], [0.500, 0.639, 0.184], [0.500, 0.361, 0.816], [0.250, 0.500, 0.500], [0.000, 0.184, 0.639], [0.250, 0.000, 0.000], [0.500, 0.816, 0.639], [0.750, 0.500, 0.500], [0.000, 0.361, 0.184], [0.750, 0.000, 0.000], [0.500, 0.184, 0.361], [0.000, 0.816, 0.361]], "space_group": "P4/mcc, No. 124", "magmom_total_mub_per_fu": 0.0}


The relative energies come out as model one 0.189; model two 0.000, with values in eV/atom.


Model one:
{"formula": "Th4BiOs2", "functional": "PBE-GGA", "state": "optimized geometry", "lattice": [[-3.111, 7.407, 0.353], [-5.366, -5.555, 2.240], [6.286, -0.366, 5.001]], "species": ["Th", "Th", "Os", "Bi", "Bi", "Th", "Th", "Th", "Os", "Os", "Th", "Th", "Th", "Os"], "fractional_positions": [[0.274, 0.516, 0.113], [0.411, 0.153, 0.387], [0.625, 0.475, 0.350], [0.250, 0.750, 0.500], [0.000, 0.000, 0.000], [0.839, 0.726, 0.243], [0.404, 0.161, 0.887], [0.847, 0.234, 0.257], [0.525, 0.875, 0.150], [0.125, 0.275, 0.650], [0.976, 0.589, 0.743], [0.484, 0.596, 0.757], [0.766, 0.024, 0.613], [0.725, 0.375, 0.850]], "space_group": "I-42d, No. 122", "magmom_total_mub_per_fu": 0.0}


Model two:
{"formula": "Th4BiOs2", "functional": "PBE-GGA", "state": "optimized geometry", "lattice": [[-0.757, 3.785, 1.927], [-3.892, -4.955, 3.375], [10.691, -2.369, 8.852]], "species": ["Th", "Th", "Bi", "Bi", "Th", "Th", "Th", "Os", "Th", "Os", "Os", "Os", "Th", "Th"], "fractional_positions": [[0.237, 0.475, 0.608], [0.077, 0.154, 0.250], [0.608, 0.216, 0.750], [0.392, 0.784, 0.250], [0.923, 0.846, 0.750], [0.763, 0.525, 0.392], [0.237, 0.475, 0.892], [0.874, 0.748, 0.941], [0.500, 0.000, 0.500], [0.126, 0.252, 0.441], [0.126, 0.252, 0.059], [0.874, 0.748, 0.559], [0.763, 0.525, 0.108], [0.500, 0.000, 0.000]], "space_group": "Cmcm, No. 63", "magmom_total_mub_per_fu": 0.0}


The relative energies come out as model one 0.126; model two 0.000, with values in eV/atom.


Model one:
{"formula": "Th5Bi2Os2", "functional": "PBE-GGA", "state": "optimized geometry", "lattice": [[8.087, 0.000, 0.000], [0.000, 7.132, -3.666], [0.000, 0.164, 9.089]], "species": ["Th", "Th", "Os", "Bi", "Bi", "Th", "Os", "Th", "Os", "Th", "Bi", "Th", "Os", "Bi", "Th", "Th", "Th", "Th"], "fractional_positions": [[0.500, 0.500, 0.000], [0.161, 0.226, 0.771], [0.862, 0.357, 0.000], [0.500, 0.290, 0.580], [0.000, 0.790, 0.580], [0.661, 0.274, 0.229], [0.362, 0.143, 0.000], [0.339, 0.726, 0.771], [0.638, 0.857, 0.000], [0.839, 0.774, 0.229], [0.000, 0.210, 0.420], [0.339, 0.955, 0.229], [0.138, 0.643, 0.000], [0.500, 0.710, 0.420], [0.839, 0.545, 0.771], [0.161, 0.455, 0.229], [0.661, 0.045, 0.771], [0.000, 0.000, 0.000]], "space_group": "Cmce, No. 64", "magmom_total_mub_per_fu": 0.0}


Model two:
{"formula": "Th5Bi2Os2", "functional": "PBE-GGA", "state": "optimized geometry", "lattice": [[-6.291, -1.600, 5.806], [-4.299, -1.376, -5.037], [8.030, -8.164, -0.082]], "species": ["Os", "Th", "Bi", "Os", "Bi", "Th", "Th", "Th", "Os", "Th", "Bi", "Th", "Os", "Th", "Th", "Th", "Th", "Bi"], "fractional_positions": [[0.500, 0.482, 0.000], [0.129, 0.733, 0.500], [0.151, 0.585, 0.207], [0.828, 0.731, 0.500], [0.556, 0.085, 0.207], [0.218, 0.121, 0.279], [0.769, 0.751, 0.038], [0.560, 0.621, 0.279], [0.172, 0.231, 0.500], [0.871, 0.233, 0.500], [0.444, 0.878, 0.793], [0.440, 0.342, 0.721], [0.000, 0.982, 0.000], [0.769, 0.251, 0.038], [0.231, 0.713, 0.962], [0.231, 0.213, 0.962], [0.782, 0.842, 0.721], [0.849, 0.378, 0.793]], "space_group": "Ima2, No. 46", "magmom_total_mub_per_fu": 0.0}


The relative energies come out as model one 0.000; model two 0.254, with values in eV/atom.